Here is BaCa2AgPt after structural relaxation from Alexandria. Energies are from GGA-PBE.

CIF file:
```
data_BaCa2AgPt
_chemical_formula_sum 'Ba1 Ca2 Ag1 Pt1'
_cell_length_a 5.4824
_cell_length_b 5.4824
_cell_length_c 5.5740
_cell_angle_alpha 90.00
_cell_angle_beta 90.00
_cell_angle_gamma 90.00
_space_group_name_H-M_alt 'P 1'
_space_group_IT_number 1
_space_group_name_Hall 'P 1'
loop_
_atom_site_label
_atom_site_fract_x
_atom_site_fract_y
_atom_site_fract_z
Ba1 0.5000 0.5000 0.5000
Pt1 0.0000 0.0000 0.0000
Ca1 0.0000 0.5000 0.0000
Ca2 0.5000 0.0000 0.0000
Ag1 0.0000 0.0000 0.5000
```

Offset from the most stable computed form in kJ/mol of atoms: 6.6
Formation energy from the elements in eV/atom: -0.31
Final energy in eV per atom: -3.2704
M_tot in Bohr magnetons per cell: 0.000